MnGe2BSe | Alexandria via LeMat-Bulk | PBE | optimized geometry; V = 87 Å³ per cell; ΔE_f (raw) = 0.47 eV/atom; N(E_F) = 0.372 states/eV per atom; total DFT energy (no corrections) = -5.24 eV per atom; space group = P4/mmm, No. 123
1.0
4.438 0.000 0.000
0.000 4.438 0.000
0.000 0.000 4.406
Mn Ge B Se
1 2 1 1
Direct
0.000 0.000 0.000 Mn
0.000 0.500 0.500 Ge
0.500 0.000 0.500 Ge
0.000 0.000 0.500 B
0.500 0.500 0.000 Se